Record 1
The following is a DFT calculation (PBE) of a relaxed MgBeIn2 crystal.

Calculated values
The calculation puts the formation energy at 0.41 eV/atom. The calculation puts the excess energy over the best structure of this formula in the dataset at 179 meV/atom.

Geometry as CIF:
```
data_MgBeIn2
_space_group_name_H-M_alt 'F -4 3 m'
_space_group_IT_number 216
_space_group_name_Hall 'F -4 2 3'
_cell_length_a 6.984
_cell_length_b 6.984
_cell_length_c 6.984
_cell_angle_alpha 90.00
_cell_angle_beta 90.00
_cell_angle_gamma 90.00
loop_
_atom_site_label
_atom_site_fract_x
_atom_site_fract_y
_atom_site_fract_z
_atom_site_occupancy
Mg1 0.000 0.000 0.000 1
Be1 0.250 0.250 0.250 1
In1 0.000 0.000 0.500 1
In2 0.250 0.250 0.750 1
```

---

Record 2
The following is a DFT calculation (PBE) of a relaxed NaPH2Rh crystal.

Calculated values
The value obtained for the total energy is -3.798 eV/atom.

Geometry as CIF:
```
data_NaPH2Rh
_space_group_name_H-M_alt 'P 4/m m m'
_space_group_IT_number 123
_space_group_name_Hall '-P 4 2'
_cell_length_a 3.747
_cell_length_b 3.747
_cell_length_c 4.571
_cell_angle_alpha 90.00
_cell_angle_beta 90.00
_cell_angle_gamma 90.00
loop_
_atom_site_label
_atom_site_fract_x
_atom_site_fract_y
_atom_site_fract_z
_atom_site_occupancy
Na1 0.000 0.000 0.000 1
P1 0.500 0.500 0.500 1
H1 0.000 0.500 0.500 1
Rh1 0.500 0.500 0.000 1
```

---

Record 3
The following is a DFT calculation (PBE) of a relaxed Si2PtPb crystal.

Calculated values
Its uncorrected formation energy is 56 meV per atom.

Geometry as CIF:
```
data_Si2PtPb
_space_group_name_H-M_alt 'P 4 m m'
_space_group_IT_number 99
_cell_length_a 3.204
_cell_length_b 3.204
_cell_length_c 7.586
_cell_angle_alpha 90.00
_cell_angle_beta 90.00
_cell_angle_gamma 90.00
loop_
_space_group_symop_operation_xyz
'x,y,z'
'-y,x,z'
'-x,-y,z'
'y,-x,z'
'-x,y,z'
'y,x,z'
'x,-y,z'
'-y,-x,z'
loop_
_atom_site_label
_atom_site_fract_x
_atom_site_fract_y
_atom_site_fract_z
_atom_site_occupancy
Si1 0.000 0.000 0.000 1
Si2 0.500 0.500 0.188 1
Pt1 0.500 0.500 0.845 1
Pb1 0.000 0.000 0.545 1
```

---

Record 4
The following is a DFT calculation (PBE) of a relaxed La2TmIr crystal.

Calculated values
The calculation puts the formation energy at -0.51 eV/atom. The calculation puts the excess energy over the best structure of this formula in the dataset at 0 meV/atom.

Geometry as CIF:
```
data_La2TmIr
_space_group_name_H-M_alt 'P n m a'
_space_group_IT_number 62
_cell_length_a 7.331
_cell_length_b 10.050
_cell_length_c 6.438
_cell_angle_alpha 90.00
_cell_angle_beta 90.00
_cell_angle_gamma 90.00
loop_
_space_group_symop_operation_xyz
'x,y,z'
'-x,-y,-z'
'-x+1/2,-y,z+1/2'
'x+1/2,y,-z+1/2'
'x+1/2,-y+1/2,-z+1/2'
'-x+1/2,y+1/2,z+1/2'
'-x,y+1/2,-z'
'x,-y+1/2,z'
loop_
_atom_site_label
_atom_site_fract_x
_atom_site_fract_y
_atom_site_fract_z
_atom_site_occupancy
La1 0.177 0.067 0.175 1
Tm1 0.041 0.250 0.659 1
Ir1 0.123 0.750 0.951 1
```

---

Record 5
The following is a DFT calculation (PBE) of a relaxed Ce3Sc2In2 crystal.

Calculated values
The calculation puts the formation energy at -0.09 eV/atom.

Geometry as CIF:
```
data_Ce3Sc2In2
_space_group_name_H-M_alt 'C m m m'
_space_group_IT_number 65
_space_group_name_Hall '-C 2 2'
_cell_length_a 5.129
_cell_length_b 22.086
_cell_length_c 3.025
_cell_angle_alpha 90.00
_cell_angle_beta 90.00
_cell_angle_gamma 90.00
loop_
_atom_site_label
_atom_site_fract_x
_atom_site_fract_y
_atom_site_fract_z
_atom_site_occupancy
Ce1 0.000 0.000 0.000 1
Ce2 0.000 0.279 0.000 1
Sc1 0.000 0.426 0.000 1
In1 0.000 0.138 0.500 1
```

---

Record 6
The following is a DFT calculation (PBE) of a relaxed NaPrBi crystal.

Calculated values
The calculation puts the formation energy at -0.53 eV/atom.

Geometry as CIF:
```
data_NaPrBi
_space_group_name_H-M_alt 'C m c m'
_space_group_IT_number 63
_space_group_name_Hall '-C 2c 2'
_cell_length_a 5.727
_cell_length_b 9.834
_cell_length_c 6.679
_cell_angle_alpha 90.00
_cell_angle_beta 90.00
_cell_angle_gamma 90.00
loop_
_atom_site_label
_atom_site_fract_x
_atom_site_fract_y
_atom_site_fract_z
_atom_site_occupancy
Na1 0.000 0.000 0.000 1
Pr1 0.000 0.334 0.250 1
Bi1 0.000 0.331 0.750 1
```

---

Record 7
The following is a DFT calculation (PBE) of a relaxed Li4CeGa5 crystal.

Calculated values
The calculation puts the formation energy at -0.31 eV/atom.

Geometry as CIF:
```
data_Li4CeGa5
_space_group_name_H-M_alt 'P 4/m m m'
_space_group_IT_number 123
_space_group_name_Hall '-P 4 2'
_cell_length_a 3.252
_cell_length_b 3.252
_cell_length_c 15.930
_cell_angle_alpha 90.00
_cell_angle_beta 90.00
_cell_angle_gamma 90.00
loop_
_atom_site_label
_atom_site_fract_x
_atom_site_fract_y
_atom_site_fract_z
_atom_site_occupancy
Li1 0.000 0.000 0.091 1
Li2 0.000 0.000 0.275 1
Ce1 0.000 0.000 0.500 1
Ga1 0.500 0.500 0.000 1
Ga2 0.500 0.500 0.183 1
Ga3 0.500 0.500 0.365 1
```

---

Record 8
The following is a DFT calculation (PBE) of a relaxed SmYCo crystal.

Calculated values
The calculation puts the formation energy at -0.06 eV/atom. The calculation puts the excess energy over the best structure of this formula in the dataset at 38 meV/atom.

Geometry as CIF:
```
data_SmYCo
_space_group_name_H-M_alt 'I 4 m m'
_space_group_IT_number 107
_space_group_name_Hall 'I 4 -2'
_cell_length_a 3.411
_cell_length_b 3.411
_cell_length_c 12.841
_cell_angle_alpha 90.00
_cell_angle_beta 90.00
_cell_angle_gamma 90.00
loop_
_atom_site_label
_atom_site_fract_x
_atom_site_fract_y
_atom_site_fract_z
_atom_site_occupancy
Sm1 0.000 0.000 0.000 1
Y1 0.000 0.000 0.255 1
Co1 0.000 0.000 0.631 1
```

---

Record 9
The following is a DFT calculation (PBE) of a relaxed CaBi2C2O2 crystal.

Calculated values
Its uncorrected formation energy is -98 meV per atom.

Geometry as CIF:
```
data_CaBi2C2O2
_space_group_name_H-M_alt 'I 4/m m m'
_space_group_IT_number 139
_space_group_name_Hall '-I 4 2'
_cell_length_a 3.738
_cell_length_b 3.738
_cell_length_c 19.324
_cell_angle_alpha 90.00
_cell_angle_beta 90.00
_cell_angle_gamma 90.00
loop_
_atom_site_label
_atom_site_fract_x
_atom_site_fract_y
_atom_site_fract_z
_atom_site_occupancy
Ca1 0.000 0.000 0.000 1
Bi1 0.000 0.000 0.178 1
C1 0.000 0.000 0.467 1
O1 0.000 0.500 0.250 1
```

---

Record 10
The following is a DFT calculation (PBE) of a relaxed Na8B11C5 crystal.

Calculated values
The calculation puts the formation energy at 0.10 eV/atom. The calculation puts the excess energy over the best structure of this formula in the dataset at 2 meV/atom.

Geometry as CIF:
```
data_Na8B11C5
_space_group_name_H-M_alt 'P m m 2'
_space_group_IT_number 25
_cell_length_a 2.803
_cell_length_b 8.595
_cell_length_c 10.303
_cell_angle_alpha 90.00
_cell_angle_beta 90.00
_cell_angle_gamma 90.00
loop_
_space_group_symop_operation_xyz
'x,y,z'
'-x,-y,z'
'-x,y,z'
'x,-y,z'
loop_
_atom_site_label
_atom_site_fract_x
_atom_site_fract_y
_atom_site_fract_z
_atom_site_occupancy
Na1 0.000 0.247 0.000 1
Na2 0.000 0.248 0.497 1
Na3 0.500 0.249 0.247 1
Na4 0.500 0.252 0.746 1
B1 0.000 0.000 0.336 1
B2 0.000 0.000 0.810 1
B3 0.000 0.500 0.158 1
B4 0.000 0.500 0.323 1
B5 0.000 0.500 0.659 1
B6 0.000 0.500 0.823 1
B7 0.500 0.000 0.095 1
B8 0.500 0.000 0.575 1
B9 0.500 0.000 0.922 1
B10 0.500 0.500 0.430 1
B11 0.500 0.500 0.930 1
C1 0.000 0.000 0.175 1
C2 0.000 0.000 0.656 1
C3 0.500 0.000 0.416 1
C4 0.500 0.500 0.080 1
C5 0.500 0.500 0.580 1
```

---

Record 11
The following is a DFT calculation (PBE) of a relaxed Pr7Tl crystal.

Calculated values
The calculation puts the formation energy at -0.06 eV/atom.

Geometry as CIF:
```
data_Pr7Tl
_space_group_name_H-M_alt 'F m -3 m'
_space_group_IT_number 225
_space_group_name_Hall '-F 4 2 3'
_cell_length_a 10.278
_cell_length_b 10.278
_cell_length_c 10.278
_cell_angle_alpha 90.00
_cell_angle_beta 90.00
_cell_angle_gamma 90.00
loop_
_atom_site_label
_atom_site_fract_x
_atom_site_fract_y
_atom_site_fract_z
_atom_site_occupancy
Pr1 0.000 0.000 0.000 1
Pr2 0.000 0.250 0.250 1
Tl1 0.000 0.000 0.500 1
```

---

Record 12
The following is a DFT calculation (PBE) of a relaxed YAg2O2 crystal.

Calculated values
Its uncorrected formation energy is -599 meV per atom. The calculation puts the excess energy over the best structure of this formula in the dataset at 0 meV/atom.

Geometry as CIF:
```
data_YAg2O2
_space_group_name_H-M_alt 'I 4/m m m'
_space_group_IT_number 139
_space_group_name_Hall '-I 4 2'
_cell_length_a 4.298
_cell_length_b 4.298
_cell_length_c 8.508
_cell_angle_alpha 90.00
_cell_angle_beta 90.00
_cell_angle_gamma 90.00
loop_
_atom_site_label
_atom_site_fract_x
_atom_site_fract_y
_atom_site_fract_z
_atom_site_occupancy
Y1 0.000 0.000 0.000 1
Ag1 0.000 0.000 0.350 1
O1 0.000 0.500 0.250 1
```

---

Record 13
The following is a DFT calculation (PBE) of a relaxed CaPmHg4 crystal.

Calculated values
The calculation puts the formation energy at -0.41 eV/atom. The calculation puts the excess energy over the best structure of this formula in the dataset at 11 meV/atom.

Geometry as CIF:
```
data_CaPmHg4
_space_group_name_H-M_alt 'P 1 2/m 1'
_space_group_IT_number 10
_cell_length_a 5.697
_cell_length_b 5.579
_cell_length_c 5.705
_cell_angle_alpha 90.00
_cell_angle_beta 119.91
_cell_angle_gamma 90.00
loop_
_space_group_symop_operation_xyz
'x,y,z'
'-x,-y,-z'
'-x,y,-z'
'x,-y,z'
loop_
_atom_site_label
_atom_site_fract_x
_atom_site_fract_y
_atom_site_fract_z
_atom_site_occupancy
Ca1 0.000 0.000 0.000 1
Pm1 0.000 0.500 0.500 1
Hg1 0.337 0.500 0.169 1
Hg2 0.338 0.000 0.668 1
```

---

Record 14
The following is a DFT calculation (PBE) of a relaxed TiZnI2N crystal.

Calculated values
Its uncorrected formation energy is -60 meV per atom. The calculation puts the excess energy over the best structure of this formula in the dataset at 0 meV/atom.

Geometry as CIF:
```
data_TiZnI2N
_space_group_name_H-M_alt 'P 4/m m m'
_space_group_IT_number 123
_space_group_name_Hall '-P 4 2'
_cell_length_a 5.742
_cell_length_b 5.742
_cell_length_c 3.770
_cell_angle_alpha 90.00
_cell_angle_beta 90.00
_cell_angle_gamma 90.00
loop_
_atom_site_label
_atom_site_fract_x
_atom_site_fract_y
_atom_site_fract_z
_atom_site_occupancy
Ti1 0.000 0.000 0.000 1
Zn1 0.500 0.500 0.500 1
I1 0.000 0.500 0.000 1
N1 0.000 0.000 0.500 1
```

---

Record 15
The following is a DFT calculation (PBE) of a relaxed AcGaH2O4 crystal.

Calculated values
The value obtained for the total energy is -6.150 eV/atom.

Geometry as CIF:
```
data_AcGaH2O4
_space_group_name_H-M_alt 'I 2 2 2'
_space_group_IT_number 23
_cell_length_a 4.585
_cell_length_b 5.930
_cell_length_c 6.621
_cell_angle_alpha 90.00
_cell_angle_beta 90.00
_cell_angle_gamma 90.00
loop_
_space_group_symop_operation_xyz
'x,y,z'
'-x,-y,z'
'x,-y,-z'
'-x,y,-z'
'x+1/2,y+1/2,z+1/2'
'-x+1/2,-y+1/2,z+1/2'
'x+1/2,-y+1/2,-z+1/2'
'-x+1/2,y+1/2,-z+1/2'
loop_
_atom_site_label
_atom_site_fract_x
_atom_site_fract_y
_atom_site_fract_z
_atom_site_occupancy
Ac1 0.000 0.000 0.000 1
Ga1 0.000 0.000 0.500 1
H1 0.000 0.500 0.166 1
O1 0.217 0.373 0.825 1
```

---

Record 16
The following is a DFT calculation (PBE) of a relaxed SrSm2RuN4 crystal.

Calculated values
Its uncorrected formation energy is -790 meV per atom.

Geometry as CIF:
```
data_SrSm2RuN4
_space_group_name_H-M_alt 'C m c m'
_space_group_IT_number 63
_space_group_name_Hall '-C 2c 2'
_cell_length_a 3.540
_cell_length_b 12.193
_cell_length_c 11.991
_cell_angle_alpha 90.00
_cell_angle_beta 90.00
_cell_angle_gamma 90.00
loop_
_atom_site_label
_atom_site_fract_x
_atom_site_fract_y
_atom_site_fract_z
_atom_site_occupancy
Sr1 0.000 0.112 0.250 1
Sm1 0.000 0.368 0.037 1
Ru1 0.000 0.157 0.750 1
N1 0.000 0.000 0.000 1
N2 0.000 0.260 0.625 1
N3 0.000 0.416 0.250 1
```

---

Record 17
The following is a DFT calculation (PBE) of a relaxed Sn4Sb2Au crystal.

Calculated values
Its uncorrected formation energy is 232 meV per atom. The calculation puts the excess energy over the best structure of this formula in the dataset at 217 meV/atom.

Geometry as CIF:
```
data_Sn4Sb2Au
_space_group_name_H-M_alt 'I 4/m m m'
_space_group_IT_number 139
_space_group_name_Hall '-I 4 2'
_cell_length_a 5.291
_cell_length_b 5.291
_cell_length_c 15.888
_cell_angle_alpha 90.00
_cell_angle_beta 90.00
_cell_angle_gamma 90.00
loop_
_atom_site_label
_atom_site_fract_x
_atom_site_fract_y
_atom_site_fract_z
_atom_site_occupancy
Sn1 0.000 0.000 0.186 1
Sn2 0.000 0.500 0.000 1
Sb1 0.000 0.000 0.372 1
Au1 0.000 0.000 0.000 1
```

---

Record 18
The following is a DFT calculation (PBE) of a relaxed CaNd2Dy3As6 crystal.

Calculated values
The calculation puts the formation energy at -1.42 eV/atom.

Geometry as CIF:
```
data_CaNd2Dy3As6
_space_group_name_H-M_alt 'C 1 2/m 1'
_space_group_IT_number 12
_cell_length_a 18.310
_cell_length_b 4.192
_cell_length_c 8.395
_cell_angle_alpha 90.00
_cell_angle_beta 103.53
_cell_angle_gamma 90.00
loop_
_space_group_symop_operation_xyz
'x,y,z'
'-x,-y,-z'
'-x,y,-z'
'x,-y,z'
'x+1/2,y+1/2,z'
'-x+1/2,-y+1/2,-z'
'-x+1/2,y+1/2,-z'
'x+1/2,-y+1/2,z'
loop_
_atom_site_label
_atom_site_fract_x
_atom_site_fract_y
_atom_site_fract_z
_atom_site_occupancy
Ca1 0.000 0.000 0.000 1
Nd1 0.165 0.500 0.330 1
Dy1 0.000 0.000 0.500 1
Dy2 0.166 0.500 0.834 1
As1 0.003 0.500 0.743 1
As2 0.165 0.000 0.588 1
As3 0.169 0.000 0.078 1
```

---

Record 19
The following is a DFT calculation (PBE) of a relaxed Sr3Pd4Pb2 crystal.

Calculated values
The calculation puts the formation energy at -0.58 eV/atom.

Geometry as CIF:
```
data_Sr3Pd4Pb2
_space_group_name_H-M_alt 'C 1 2/m 1'
_space_group_IT_number 12
_cell_length_a 11.091
_cell_length_b 4.702
_cell_length_c 9.218
_cell_angle_alpha 90.00
_cell_angle_beta 98.02
_cell_angle_gamma 90.00
loop_
_space_group_symop_operation_xyz
'x,y,z'
'-x,-y,-z'
'-x,y,-z'
'x,-y,z'
'x+1/2,y+1/2,z'
'-x+1/2,-y+1/2,-z'
'-x+1/2,y+1/2,-z'
'x+1/2,-y+1/2,z'
loop_
_atom_site_label
_atom_site_fract_x
_atom_site_fract_y
_atom_site_fract_z
_atom_site_occupancy
Sr1 0.000 0.000 0.000 1
Sr2 0.125 0.500 0.385 1
Pd1 0.083 0.000 0.628 1
Pd2 0.232 0.500 0.086 1
Pb1 0.179 0.500 0.779 1
```

---

Record 20
The following is a DFT calculation (PBE) of a relaxed SiSbTe2 crystal.

Calculated values
Its uncorrected formation energy is 404 meV per atom. The calculation puts the excess energy over the best structure of this formula in the dataset at 280 meV/atom.

Geometry as CIF:
```
data_SiSbTe2
_space_group_name_H-M_alt 'F m -3 m'
_space_group_IT_number 225
_space_group_name_Hall '-F 4 2 3'
_cell_length_a 7.421
_cell_length_b 7.421
_cell_length_c 7.421
_cell_angle_alpha 90.00
_cell_angle_beta 90.00
_cell_angle_gamma 90.00
loop_
_atom_site_label
_atom_site_fract_x
_atom_site_fract_y
_atom_site_fract_z
_atom_site_occupancy
Si1 0.000 0.000 0.000 1
Sb1 0.000 0.000 0.500 1
Te1 0.250 0.250 0.250 1
```

---

Q: Which M_tot values were calculated for the entries above? A: 0.0; 0.0; 0.0; 0.0; 3.2; 0.0; 0.4; 1.4; 0.0; 0.0; 0.0; 0.0; 0.0; 0.0; 0.0; 0.0; 0.0; 0.0; 0.0; 0.0, in μB per cell.